No. 1
Compound: MgP2Se
Source: the Alexandria database
Functional: PBE
Structure: optimized geometry

Unit cell a=3.4993 b=3.4993 c=8.4934 alpha=90.00 beta=90.00 gamma=90.00
With the nearest neighbours (Å) after each atom.
Fractional coordinates of all 4 atoms:
Mg: 0.0000 0.0000 0.0000  4 Se 2.47
P: 0.0000 0.5000 0.5000  4 P 2.47
P: 0.5000 0.0000 0.5000  4 P 2.47
Se: 0.5000 0.5000 0.0000  4 Mg 2.47

SG = P4/mmm (123)
uncorrected formation energy = -0.025 eV per atom
uncorrected energy = -0.1470 Ha/atom
energy relative to the lowest polymorph listed for this composition = 390 meV/atom


No. 2
Compound: MgPSe
Source: the Alexandria database
Functional: PBE
Structure: optimized geometry

Unit cell a=3.6658 b=3.6658 c=5.1895 alpha=90.00 beta=90.00 gamma=120.00
With the nearest neighbours (Å) after each atom.
Fractional coordinates of all 3 atoms:
Mg: 0.0000 0.0000 0.0000  3 P 2.71, 3 Se 2.75
P: 0.6667 0.3333 0.3262  3 Mg 2.71, 3 Se 2.74
Se: 0.3333 0.6667 0.6612  3 P 2.74, 3 Mg 2.75

SG = P3m1 (156)
uncorrected formation energy = 0.010 eV per atom
uncorrected energy = -0.1281 Ha/atom
energy relative to the lowest polymorph listed for this composition = 267 meV/atom


No. 3
Compound: Mg3PSe
Source: the Alexandria database
Functional: PBE
Structure: optimized geometry

Unit cell a=4.8850 b=4.8850 c=4.8850 alpha=90.00 beta=90.00 gamma=90.00
With the nearest neighbours (Å) after each atom.
Fractional coordinates of all 5 atoms:
Mg: 0.0000 0.0000 0.5000  2 P 2.44
Mg: 0.0000 0.5000 0.0000  2 P 2.44
Mg: 0.5000 0.0000 0.0000  2 P 2.44
P: 0.0000 0.0000 0.0000  6 Mg 2.44
Se: 0.5000 0.5000 0.5000  12 Mg 3.45

SG = Pm-3m (221)
uncorrected formation energy = -0.361 eV per atom
uncorrected energy = -0.1138 Ha/atom
energy relative to the lowest polymorph listed for this composition = 0 meV/atom


No. 4
Compound: MgP2Se
Source: the Alexandria database
Functional: PBE
Structure: optimized geometry

Unit cell a=3.7453 b=3.7453 c=18.7475 alpha=90.00 beta=90.00 gamma=120.00
With the nearest neighbours (Å) after each atom.
Fractional coordinates of all 12 atoms:
Mg: 0.0000 0.0000 0.0000  6 P 2.72
Mg: 0.3333 0.6667 0.6667  6 P 2.72
Mg: 0.6667 0.3333 0.3333  6 P 2.72
P: 0.0000 0.0000 0.2453  3 Se 2.62, 3 Mg 2.72
P: 0.0000 0.0000 0.7547  3 Se 2.62, 3 Mg 2.72
P: 0.3333 0.6667 0.4214  3 Se 2.62, 3 Mg 2.72
P: 0.3333 0.6667 0.9120  3 Se 2.62, 3 Mg 2.72
P: 0.6667 0.3333 0.0880  3 Se 2.62, 3 Mg 2.72
P: 0.6667 0.3333 0.5786  3 Se 2.62, 3 Mg 2.72
Se: 0.0000 0.0000 0.5000  6 P 2.62
Se: 0.3333 0.6667 0.1667  6 P 2.62
Se: 0.6667 0.3333 0.8333  6 P 2.62

SG = R-3m (166)
uncorrected formation energy = 0.133 eV per atom
uncorrected energy = -0.1412 Ha/atom
energy relative to the lowest polymorph listed for this composition = 548 meV/atom